The following is a GGA-PBE calculation of an optimized crystal structure of CrFeAu, from Alexandria.

Summary:
Formation energy ... 0.24 eV per atom
Total moment ... 2.12 μB per formula unit
Total energy ... -6.885 eV/atom

The structure in POSCAR format:
```
CrFeAu
1.0
9.768 0.000 0.000
0.000 3.020 0.000
-1.989 0.000 5.671
Cr Fe Au
4 4 4
direct
0.195 0.000 0.363
0.305 0.500 0.637
0.695 0.500 0.363
0.805 0.000 0.637
0.186 0.000 0.848
0.314 0.500 0.152
0.686 0.500 0.848
0.814 0.000 0.152
0.000 0.500 0.000
0.000 0.500 0.500
0.500 0.000 0.000
0.500 0.000 0.500
```

The following is a GGA-PBE calculation of an optimized crystal structure of CrFe3Au, from Alexandria.

Summary:
Formation energy ... 1.04 eV per atom
Total moment ... 4.47 μB per formula unit
Total energy ... -6.616 eV/atom

The structure in POSCAR format:
```
CrFe3Au
1.0
4.222 0.000 0.000
0.000 4.222 0.000
0.000 0.000 4.222
Cr Fe Au
1 3 1
direct
0.000 0.000 0.000
0.000 0.000 0.500
0.000 0.500 0.000
0.500 0.000 0.000
0.500 0.500 0.500
```

The following is a GGA-PBE calculation of an optimized crystal structure of Cr2FeAu, from Alexandria.

Summary:
Formation energy ... 0.37 eV per atom
Total moment ... 2.40 μB per formula unit
Total energy ... -7.379 eV/atom

The structure in POSCAR format:
```
Cr2FeAu
1.0
2.789 0.000 0.000
-1.395 2.416 0.000
0.000 0.000 24.606
Cr Fe Au
6 3 3
direct
0.000 0.000 0.000
0.000 0.000 0.268
0.333 0.667 0.667
0.333 0.667 0.935
0.667 0.333 0.333
0.667 0.333 0.601
0.000 0.000 0.747
0.333 0.667 0.414
0.667 0.333 0.081
0.000 0.000 0.506
0.333 0.667 0.172
0.667 0.333 0.839
```

| no. | excess energy over the best structure of this formula in the dataset (meV per atom) |
| --- | --- |
| 1 | 60 |
| 2 | 0 |
| 3 | 143 |